Entry from the Alexandria database: a relaxed structure of Li2MoSe (PBE-GGA).

CIF file:
```
data_Li2MoSe
_chemical_formula_sum 'Li4 Mo2 Se2'
_symmetry_space_group_name_H-M 'I m m m'
_symmetry_Int_Tables_number 71
_symmetry_space_group_name_Hall '-I 2 2'
_cell_length_a 3.063
_cell_length_b 4.224
_cell_length_c 9.475
_cell_angle_alpha 90.00
_cell_angle_beta 90.00
_cell_angle_gamma 90.00
loop_
_atom_site_label
_atom_site_type_symbol
_atom_site_fract_x
_atom_site_fract_y
_atom_site_fract_z
Li1 Li 0.000 0.000 0.224
Mo1 Mo 0.000 0.500 0.000
Se1 Se 0.000 0.500 0.500
```

The raw formation energy comes out at -0.008 eV per atom.



Entry from the Alexandria database: a relaxed structure of LiVNiPd (PBE-GGA).

CIF file:
```
data_LiVNiPd
_chemical_formula_sum 'Li4 V4 Ni4 Pd4'
_symmetry_space_group_name_H-M 'F -4 3 m'
_symmetry_Int_Tables_number 216
_symmetry_space_group_name_Hall 'F -4 2 3'
_cell_length_a 5.918
_cell_length_b 5.918
_cell_length_c 5.918
_cell_angle_alpha 90.00
_cell_angle_beta 90.00
_cell_angle_gamma 90.00
loop_
_atom_site_label
_atom_site_type_symbol
_atom_site_fract_x
_atom_site_fract_y
_atom_site_fract_z
Li1 Li 0.000 0.000 0.000
V1 V 0.000 0.000 0.500
Ni1 Ni 0.250 0.250 0.750
Pd1 Pd 0.250 0.250 0.250
```

Its energy of formation from the pure elements is -85 meV per atom.



Taking the records one at a time from the top gives N(E_F) values of 4.0, 16.2 states/eV/cell.